Material: AlFeI2O
Method: DFT, PBE+U
State: optimized geometry

a b c (Å): 5.8907 5.8907 3.7215
angles (deg): 90.00 90.00 90.00
With the nearest neighbours (Å) after each atom.
Space group P4/mmm (No. 123)
Symmetry-distinct sites (fractional):
Al1 0.0000 0.0000 0.0000  8 I 3.48, 2 Al 3.72
Fe1 0.5000 0.5000 0.5000  2 O 1.86
I1 0.0000 0.5000 0.5000  2 Fe 2.95
O1 0.5000 0.5000 0.0000  2 Fe 1.86

Summary:
polymorph energy (0 for the lowest one)	306	meV per atom
M_tot	5.0	μB per cell
E	-0.2733	Ry/atom
DOS at the Fermi energy	0.190	states/eV per cell